1.
{
  "formula": "LaH2Pb",
  "functional": "PBE",
  "state": "optimized geometry",
  "de_polymorph_mev_per_atom": 0,
  "lattice": [[-2.479, 2.479, 6.377], [2.479, -2.479, 6.377], [2.479, 2.479, -6.377]],
  "species": ["La", "La", "H", "H", "H", "H", "Pb", "Pb"],
  "frac_coords": [[0.000, 0.000, 0.000], [0.750, 0.250, 0.500], [0.063, 0.625, 0.938], [0.375, 0.313, 0.438], [0.687, 0.125, 0.062], [0.875, 0.937, 0.562], [0.250, 0.750, 0.500], [0.500, 0.500, 0.000]]
}


2.
{
  "formula": "Sm5Te4N",
  "functional": "PBE",
  "state": "optimized geometry",
  "formation_energy_uncorrected_ev_per_fu": -13.2,
  "lattice": [[-4.799, 4.799, 3.065], [4.799, -4.799, 3.065], [4.799, 4.799, -3.065]],
  "species": ["Sm", "Sm", "Sm", "Sm", "Sm", "Te", "Te", "Te", "Te", "N"],
  "frac_coords": [[0.000, 0.000, 0.000], [0.209, 0.361, 0.666], [0.361, 0.694, 0.152], [0.543, 0.209, 0.848], [0.694, 0.543, 0.334], [0.039, 0.642, 0.775], [0.265, 0.039, 0.397], [0.642, 0.868, 0.603], [0.868, 0.265, 0.225], [0.429, 0.429, 0.000]]
}


3.
{
  "formula": "Sm6MgTe3As2",
  "functional": "PBE",
  "state": "optimized geometry",
  "formation_energy_uncorrected_ev_per_fu": -14.3,
  "lattice": [[9.504, -2.156, 0.000], [9.504, 2.156, 0.000], [-1.917, 0.000, 8.672]],
  "species": ["Sm", "Sm", "Sm", "Sm", "Sm", "Sm", "Mg", "Te", "Te", "Te", "As", "As"],
  "frac_coords": [[0.011, 0.011, 0.263], [0.327, 0.327, 0.430], [0.328, 0.328, 0.887], [0.672, 0.672, 0.113], [0.673, 0.673, 0.570], [0.989, 0.989, 0.737], [0.500, 0.500, 0.000], [0.162, 0.162, 0.835], [0.500, 0.500, 0.500], [0.838, 0.838, 0.165], [0.169, 0.169, 0.339], [0.831, 0.831, 0.661]]
}


4.
{
  "formula": "Sm4PuPd5",
  "functional": "PBE",
  "state": "optimized geometry",
  "total_energy_ry_per_atom": -0.4869,
  "lattice": [[3.528, 0.000, 0.000], [0.000, 3.528, 0.000], [0.000, 0.000, 18.267]],
  "species": ["Sm", "Sm", "Sm", "Sm", "Pu", "Pd", "Pd", "Pd", "Pd", "Pd"],
  "frac_coords": [[0.000, 0.000, 0.101], [0.000, 0.000, 0.302], [0.000, 0.000, 0.698], [0.000, 0.000, 0.899], [0.000, 0.000, 0.500], [0.500, 0.500, 0.000], [0.500, 0.500, 0.199], [0.500, 0.500, 0.398], [0.500, 0.500, 0.602], [0.500, 0.500, 0.801]]
}


5.
{
  "formula": "NbP2W2",
  "functional": "PBE",
  "state": "optimized geometry",
  "total_energy_ry_per_atom": -0.7024,
  "lattice": [[6.841, 0.000, 0.000], [0.000, 6.841, 0.000], [0.000, 0.000, 3.161]],
  "species": ["Nb", "Nb", "P", "P", "P", "P", "W", "W", "W", "W"],
  "frac_coords": [[0.000, 0.000, 0.000], [0.500, 0.500, 0.000], [0.151, 0.349, 0.000], [0.349, 0.849, 0.000], [0.651, 0.151, 0.000], [0.849, 0.651, 0.000], [0.143, 0.643, 0.500], [0.357, 0.143, 0.500], [0.643, 0.857, 0.500], [0.857, 0.357, 0.500]]
}


6.
{
  "formula": "Zr3BI3",
  "functional": "PBE",
  "state": "optimized geometry",
  "formation_energy_uncorrected_ev_per_fu": -4.9,
  "lattice": [[-5.603, 5.603, 5.603], [5.603, -5.603, 5.603], [5.603, 5.603, -5.603]],
  "species": ["Zr", "Zr", "Zr", "Zr", "Zr", "Zr", "Zr", "Zr", "Zr", "Zr", "Zr", "Zr", "B", "B", "B", "B", "I", "I", "I", "I", "I", "I", "I", "I", "I", "I", "I", "I"],
  "frac_coords": [[0.034, 0.068, 0.284], [0.034, 0.466, 0.750], [0.068, 0.284, 0.034], [0.216, 0.284, 0.750], [0.216, 0.432, 0.466], [0.284, 0.034, 0.068], [0.284, 0.750, 0.216], [0.432, 0.466, 0.216], [0.466, 0.216, 0.432], [0.466, 0.750, 0.034], [0.750, 0.034, 0.466], [0.750, 0.216, 0.284], [0.000, 0.250, 0.500], [0.250, 0.250, 0.250], [0.250, 0.500, 0.000], [0.500, 0.000, 0.250], [0.250, 0.756, 0.744], [0.250, 0.994, 0.506], [0.506, 0.250, 0.994], [0.506, 0.756, 0.512], [0.512, 0.506, 0.756], [0.744, 0.250, 0.756], [0.744, 0.994, 0.988], [0.756, 0.512, 0.506], [0.756, 0.744, 0.250], [0.988, 0.744, 0.994], [0.994, 0.506, 0.250], [0.994, 0.988, 0.744]]
}


7.
{
  "formula": "Ac2NdSm3As6",
  "functional": "PBE",
  "state": "optimized geometry",
  "total_energy_ry_per_atom": -0.4462,
  "lattice": [[9.459, -2.170, 0.000], [9.459, 2.170, 0.000], [-2.001, 0.000, 8.454]],
  "species": ["Ac", "Ac", "Nd", "Sm", "Sm", "Sm", "As", "As", "As", "As", "As", "As"],
  "frac_coords": [[0.165, 0.165, 0.331], [0.835, 0.835, 0.669], [0.500, 0.500, 0.000], [0.166, 0.166, 0.835], [0.500, 0.500, 0.500], [0.834, 0.834, 0.165], [0.004, 0.004, 0.751], [0.333, 0.333, 0.928], [0.337, 0.337, 0.406], [0.663, 0.663, 0.594], [0.667, 0.667, 0.072], [0.996, 0.996, 0.249]]
}


8.
{
  "formula": "Li2ZrScTe4",
  "functional": "PBE",
  "state": "optimized geometry",
  "formation_energy_uncorrected_ev_per_fu": -8.3,
  "lattice": [[7.109, 0.000, 0.000], [0.000, 4.080, 0.000], [-2.346, 0.000, 7.089]],
  "species": ["Li", "Li", "Zr", "Sc", "Te", "Te", "Te", "Te"],
  "frac_coords": [[0.000, 0.000, 0.000], [0.500, 0.500, 0.000], [0.000, 0.500, 0.500], [0.500, 0.000, 0.500], [0.250, 0.000, 0.749], [0.251, 0.500, 0.252], [0.749, 0.500, 0.748], [0.750, 0.000, 0.251]]
}


9.
{
  "formula": "CaBiPd",
  "functional": "PBE",
  "state": "optimized geometry",
  "total_energy_ry_per_atom": -0.3211,
  "lattice": [[7.719, 0.000, 0.000], [0.000, 4.441, 0.000], [-0.755, 0.000, 13.157]],
  "species": ["Ca", "Ca", "Ca", "Ca", "Ca", "Ca", "Bi", "Bi", "Bi", "Bi", "Bi", "Bi", "Pd", "Pd", "Pd", "Pd", "Pd", "Pd"],
  "frac_coords": [[0.017, 0.250, 0.122], [0.139, 0.250, 0.422], [0.471, 0.750, 0.797], [0.529, 0.250, 0.203], [0.861, 0.750, 0.578], [0.983, 0.750, 0.878], [0.139, 0.250, 0.703], [0.329, 0.750, 0.044], [0.459, 0.750, 0.400], [0.541, 0.250, 0.600], [0.671, 0.250, 0.956], [0.861, 0.750, 0.297], [0.212, 0.750, 0.240], [0.273, 0.250, 0.913], [0.281, 0.750, 0.586], [0.719, 0.250, 0.414], [0.727, 0.750, 0.087], [0.788, 0.250, 0.760]]
}


10.
{
  "formula": "Pm6Nd3Sm",
  "functional": "PBE",
  "state": "optimized geometry",
  "de_polymorph_mev_per_atom": 0,
  "lattice": [[5.519, -9.696, 0.000], [5.519, 9.696, 0.000], [0.000, 0.000, 6.493]],
  "species": ["Pm", "Pm", "Pm", "Pm", "Pm", "Pm", "Pm", "Pm", "Pm", "Pm", "Pm", "Pm", "Nd", "Nd", "Nd", "Nd", "Nd", "Nd", "Sm", "Sm"],
  "frac_coords": [[0.034, 0.966, 0.500], [0.057, 0.474, 0.984], [0.278, 0.722, 0.707], [0.288, 0.371, 0.801], [0.371, 0.288, 0.301], [0.474, 0.057, 0.484], [0.526, 0.943, 0.984], [0.629, 0.712, 0.801], [0.712, 0.629, 0.301], [0.722, 0.278, 0.207], [0.943, 0.526, 0.484], [0.966, 0.034, 0.000], [0.059, 0.293, 0.396], [0.293, 0.059, 0.896], [0.384, 0.616, 0.274], [0.616, 0.384, 0.774], [0.707, 0.941, 0.396], [0.941, 0.707, 0.896], [0.190, 0.810, 0.245], [0.810, 0.190, 0.745]]
}


11.
{
  "formula": "InBi3Pd3",
  "functional": "PBE",
  "state": "optimized geometry",
  "de_polymorph_mev_per_atom": 34,
  "lattice": [[3.619, -6.501, 0.000], [3.619, 6.501, 0.000], [-1.671, 0.000, 7.083]],
  "species": ["In", "In", "Bi", "Bi", "Bi", "Bi", "Bi", "Bi", "Pd", "Pd", "Pd", "Pd", "Pd", "Pd"],
  "frac_coords": [[0.223, 0.223, 0.014], [0.777, 0.777, 0.986], [0.193, 0.807, 0.500], [0.253, 0.747, 0.000], [0.357, 0.357, 0.639], [0.643, 0.643, 0.361], [0.747, 0.253, 0.000], [0.807, 0.193, 0.500], [0.039, 0.039, 0.315], [0.163, 0.463, 0.272], [0.463, 0.163, 0.272], [0.537, 0.837, 0.728], [0.837, 0.537, 0.728], [0.961, 0.961, 0.685]]
}


12.
{
  "formula": "Mn3Se",
  "functional": "PBE",
  "state": "optimized geometry",
  "formation_energy_uncorrected_ev_per_fu": 1.2,
  "de_polymorph_mev_per_atom": 192,
  "lattice": [[4.673, 0.000, 0.000], [0.000, 4.673, 0.000], [0.000, 0.000, 4.673]],
  "species": ["Mn", "Mn", "Mn", "Mn", "Mn", "Mn", "Se", "Se"],
  "frac_coords": [[0.000, 0.250, 0.500], [0.000, 0.750, 0.500], [0.250, 0.500, 0.000], [0.500, 0.000, 0.250], [0.500, 0.000, 0.750], [0.750, 0.500, 0.000], [0.000, 0.000, 0.000], [0.500, 0.500, 0.500]]
}


13.
{
  "formula": "Ca2Pr5Nd12",
  "functional": "PBE",
  "state": "optimized geometry",
  "total_energy_ry_per_atom": -0.3130,
  "lattice": [[8.787, -3.584, 0.000], [8.787, 3.584, 0.000], [-2.794, 0.000, 11.205]],
  "species": ["Ca", "Ca", "Pr", "Pr", "Pr", "Pr", "Pr", "Nd", "Nd", "Nd", "Nd", "Nd", "Nd", "Nd", "Nd", "Nd", "Nd", "Nd", "Nd"],
  "frac_coords": [[0.243, 0.757, 0.000], [0.757, 0.243, 0.000], [0.283, 0.283, 0.004], [0.287, 0.287, 0.496], [0.500, 0.500, 0.500], [0.713, 0.713, 0.504], [0.717, 0.717, 0.996], [0.039, 0.579, 0.774], [0.077, 0.077, 0.422], [0.120, 0.652, 0.252], [0.348, 0.880, 0.748], [0.421, 0.961, 0.226], [0.447, 0.447, 0.733], [0.553, 0.553, 0.267], [0.579, 0.039, 0.774], [0.652, 0.120, 0.252], [0.880, 0.348, 0.748], [0.923, 0.923, 0.578], [0.961, 0.421, 0.226]]
}


14.
{
  "formula": "U3Tl2InO12",
  "functional": "PBE",
  "state": "optimized geometry",
  "formation_energy_uncorrected_ev_per_fu": -42.6,
  "lattice": [[4.041, 2.333, 6.248], [-4.041, 2.333, 6.248], [0.000, -4.666, 6.248]],
  "species": ["U", "U", "U", "Tl", "Tl", "In", "O", "O", "O", "O", "O", "O", "O", "O", "O", "O", "O", "O"],
  "frac_coords": [[0.000, 0.500, 0.500], [0.500, 0.000, 0.500], [0.500, 0.500, 0.000], [0.171, 0.171, 0.171], [0.829, 0.829, 0.829], [0.500, 0.500, 0.500], [0.177, 0.564, 0.564], [0.189, 0.189, 0.551], [0.189, 0.551, 0.189], [0.436, 0.436, 0.823], [0.436, 0.823, 0.436], [0.449, 0.811, 0.811], [0.551, 0.189, 0.189], [0.564, 0.177, 0.564], [0.564, 0.564, 0.177], [0.811, 0.449, 0.811], [0.811, 0.811, 0.449], [0.823, 0.436, 0.436]]
}


15.
{
  "formula": "RbYBr2",
  "functional": "PBE",
  "state": "optimized geometry",
  "formation_energy_uncorrected_ev_per_fu": -3.8,
  "de_polymorph_mev_per_atom": 229,
  "lattice": [[-3.748, 3.748, 6.516], [3.748, -3.748, 6.516], [3.748, 3.748, -6.516]],
  "species": ["Rb", "Rb", "Y", "Y", "Br", "Br", "Br", "Br"],
  "frac_coords": [[0.000, 0.000, 0.000], [0.750, 0.250, 0.500], [0.250, 0.750, 0.500], [0.500, 0.500, 0.000], [0.183, 0.625, 0.058], [0.375, 0.433, 0.558], [0.567, 0.125, 0.942], [0.875, 0.817, 0.442]]
}


16.
{
  "formula": "Er3AlGe3",
  "functional": "PBE",
  "state": "optimized geometry",
  "de_polymorph_mev_per_atom": 0,
  "lattice": [[2.061, -5.274, 0.000], [2.061, 5.274, 0.000], [0.000, 0.000, 13.701]],
  "species": ["Er", "Er", "Er", "Er", "Er", "Er", "Al", "Al", "Ge", "Ge", "Ge", "Ge", "Ge", "Ge"],
  "frac_coords": [[0.021, 0.979, 0.750], [0.304, 0.696, 0.601], [0.304, 0.696, 0.899], [0.696, 0.304, 0.101], [0.696, 0.304, 0.399], [0.979, 0.021, 0.250], [0.000, 0.000, 0.000], [0.000, 0.000, 0.500], [0.251, 0.749, 0.250], [0.408, 0.592, 0.102], [0.408, 0.592, 0.398], [0.592, 0.408, 0.602], [0.592, 0.408, 0.898], [0.749, 0.251, 0.750]]
}


17.
{
  "formula": "Fe2ReSe",
  "functional": "PBE",
  "state": "optimized geometry",
  "formation_energy_uncorrected_ev_per_fu": 1.0,
  "lattice": [[3.017, 0.000, 0.000], [0.000, 3.017, 0.000], [0.000, 0.000, 5.949]],
  "species": ["Fe", "Fe", "Re", "Se"],
  "frac_coords": [[0.000, 0.000, 0.000], [0.500, 0.500, 0.224], [0.000, 0.000, 0.474], [0.500, 0.500, 0.752]]
}


18.
{
  "formula": "SrTlRe2",
  "functional": "PBE",
  "state": "optimized geometry",
  "de_polymorph_mev_per_atom": 694,
  "lattice": [[2.948, 0.000, 0.000], [0.000, 4.671, 0.000], [0.000, 0.000, 6.600]],
  "species": ["Sr", "Tl", "Re", "Re"],
  "frac_coords": [[0.000, 0.000, 0.000], [0.000, 0.000, 0.500], [0.500, 0.500, 0.323], [0.500, 0.500, 0.677]]
}


The following DOS(E_F) values (in states/eV/cell) correspond, in order, to the records above: 2.7, 6.6, 6.5, 15.3, 6.5, 11.5, 1.5, 2.9, 7.9, 26.5, 6.4, 9.9, 25.0, 17.1, 5.1, 7.8, 3.8, 4.0.